Crystalline NbCoP2Cl at its relaxed geometry. Source: Alexandria via LeMat-Bulk, functional PBE.

Unit cell a=4.8527 b=4.8527 c=4.8098 alpha=90.00 beta=90.00 gamma=90.00
Last column: nearest neighbours and their distance in Å.
Sites, in units of the cell vectors:
Cl  0.0000  0.0000  0.5000  2 Nb 2.40
Nb  0.0000  0.0000  0.0000  2 Cl 2.40, 4 P 2.43
Co  0.5000  0.5000  0.5000  8 P 3.42, 4 Cl 3.43
P  0.0000  0.5000  0.0000  2 Nb 2.43
P  0.5000  0.0000  0.0000  2 Nb 2.43

The space-group type is P4/mmm. As for the formation energy (no corrections): 0.661 eV/atom. The calculation puts the excess energy over the best structure of this formula in the dataset at 121 meV/atom.

Crystalline NbCoP2Cl at its relaxed geometry. Source: Alexandria via LeMat-Bulk, functional PBE.

Unit cell a=4.3250 b=4.3250 c=4.4470 alpha=90.00 beta=90.00 gamma=90.00
Last column: nearest neighbours and their distance in Å.
Sites, in units of the cell vectors:
Co  0.0000  0.0000  0.0000  4 P 2.16, 2 Cl 2.22
P  0.0000  0.5000  0.0000  2 Co 2.16
P  0.5000  0.0000  0.0000  2 Co 2.16
Nb  0.5000  0.5000  0.5000  4 Cl 3.06, 8 P 3.10
Cl  0.0000  0.0000  0.5000  2 Co 2.22

The space-group type is P4/mmm. As for the formation energy (no corrections): 0.539 eV/atom. The calculation puts the excess energy over the best structure of this formula in the dataset at 0 meV/atom.

Crystalline NbCo2PbCl at its relaxed geometry. Source: Alexandria via LeMat-Bulk, functional PBE.

Unit cell a=4.4595 b=6.0241 c=4.4595 alpha=90.00 beta=90.00 gamma=90.00
Last column: nearest neighbours and their distance in Å.
Sites, in units of the cell vectors:
Co  0.0000  0.0000  0.5000  2 Nb 2.23
Co  0.5000  0.0000  0.0000  2 Nb 2.23
Cl  0.5000  0.5000  0.5000  4 Pb 3.15
Nb  0.0000  0.0000  0.0000  4 Co 2.23
Pb  0.0000  0.5000  0.0000  2 Nb 3.01, 4 Cl 3.15

The space-group type is P4/mmm. As for the formation energy (no corrections): 1.083 eV/atom.

Crystalline RbNbCo2Cl at its relaxed geometry. Source: Alexandria via LeMat-Bulk, functional PBE.

Unit cell a=4.5441 b=5.4034 c=4.5441 alpha=90.00 beta=90.00 gamma=90.00
Last column: nearest neighbours and their distance in Å.
Sites, in units of the cell vectors:
Nb  0.5000  0.5000  0.5000  4 Cl 3.21, 8 Co 3.53
Co  0.5000  0.0000  0.0000  2 Rb 2.27
Co  0.0000  0.0000  0.5000  2 Rb 2.27
Cl  0.0000  0.5000  0.0000  2 Rb 2.70
Rb  0.0000  0.0000  0.0000  4 Co 2.27

The space-group type is P4/mmm. As for the formation energy (no corrections): 2.258 eV/atom.

Crystalline NbCo2RuCl at its relaxed geometry. Source: Alexandria via LeMat-Bulk, functional PBE.

Unit cell a=4.6407 b=4.7794 c=4.6407 alpha=90.00 beta=90.00 gamma=90.00
Last column: nearest neighbours and their distance in Å.
Sites, in units of the cell vectors:
Nb  0.0000  0.5000  0.0000  2 Ru 2.39
Co  0.5000  0.0000  0.0000  2 Ru 2.32
Co  0.0000  0.0000  0.5000  2 Ru 2.32
Ru  0.0000  0.0000  0.0000  4 Co 2.32, 2 Nb 2.39
Cl  0.5000  0.5000  0.5000  4 Nb 3.28, 8 Co 3.33

The space-group type is P4/mmm. As for the formation energy (no corrections): 1.216 eV/atom.

Crystalline NbCoS2Cl at its relaxed geometry. Source: Alexandria via LeMat-Bulk, functional PBE.

Unit cell a=4.4446 b=4.4446 c=4.3706 alpha=90.00 beta=90.00 gamma=90.00
Last column: nearest neighbours and their distance in Å.
Sites, in units of the cell vectors:
Cl  0.0000  0.0000  0.5000  2 Co 2.19
Co  0.0000  0.0000  0.0000  2 Cl 2.19, 4 S 2.22
S  0.0000  0.5000  0.0000  2 Co 2.22
S  0.5000  0.0000  0.0000  2 Co 2.22
Nb  0.5000  0.5000  0.5000  8 S 3.12, 4 Cl 3.14

The space-group type is P4/mmm. As for the formation energy (no corrections): 0.295 eV/atom. The calculation puts the excess energy over the best structure of this formula in the dataset at 93 meV/atom.

Crystalline NbCoSCl2 at its relaxed geometry. Source: Alexandria via LeMat-Bulk, functional PBE.

Unit cell a=4.4368 b=4.4368 c=4.6636 alpha=90.00 beta=90.00 gamma=90.00
Last column: nearest neighbours and their distance in Å.
Sites, in units of the cell vectors:
Cl  0.0000  0.5000  0.0000  2 Co 2.22
Cl  0.5000  0.0000  0.0000  2 Co 2.22
Nb  0.5000  0.5000  0.5000  4 S 3.14, 8 Cl 3.22
Co  0.0000  0.0000  0.0000  4 Cl 2.22, 2 S 2.33
S  0.0000  0.0000  0.5000  2 Co 2.33

The space-group type is P4/mmm. As for the formation energy (no corrections): 0.298 eV/atom. The calculation puts the excess energy over the best structure of this formula in the dataset at 120 meV/atom.

Crystalline NbCoSCl2 at its relaxed geometry. Source: Alexandria via LeMat-Bulk, functional PBE.

Unit cell a=4.8979 b=4.8979 c=4.8268 alpha=90.00 beta=90.00 gamma=90.00
Last column: nearest neighbours and their distance in Å.
Sites, in units of the cell vectors:
Cl  0.0000  0.5000  0.0000  2 Nb 2.45
Cl  0.5000  0.0000  0.0000  2 Nb 2.45
Nb  0.0000  0.0000  0.0000  2 S 2.41, 4 Cl 2.45
Co  0.5000  0.5000  0.5000  8 Cl 3.44, 4 S 3.46
S  0.0000  0.0000  0.5000  2 Nb 2.41

The space-group type is P4/mmm. As for the formation energy (no corrections): 0.177 eV/atom. The calculation puts the excess energy over the best structure of this formula in the dataset at 0 meV/atom.

Crystalline NbCoS2Cl at its relaxed geometry. Source: Alexandria via LeMat-Bulk, functional PBE.

Unit cell a=4.8309 b=4.8309 c=4.7964 alpha=90.00 beta=90.00 gamma=90.00
Last column: nearest neighbours and their distance in Å.
Sites, in units of the cell vectors:
Co  0.5000  0.5000  0.5000  8 S 3.40, 4 Cl 3.42
S  0.0000  0.5000  0.0000  2 Nb 2.42
S  0.5000  0.0000  0.0000  2 Nb 2.42
Nb  0.0000  0.0000  0.0000  2 Cl 2.40, 4 S 2.42
Cl  0.0000  0.0000  0.5000  2 Nb 2.40

The space-group type is P4/mmm. As for the formation energy (no corrections): 0.202 eV/atom. The calculation puts the excess energy over the best structure of this formula in the dataset at 0 meV/atom.

Crystalline NbCoSe2Cl at its relaxed geometry. Source: Alexandria via LeMat-Bulk, functional PBE.

Unit cell a=4.9322 b=5.2118 c=4.9322 alpha=90.00 beta=90.00 gamma=90.00
Last column: nearest neighbours and their distance in Å.
Sites, in units of the cell vectors:
Co  0.0000  0.5000  0.0000  2 Nb 2.61
Se  0.0000  0.0000  0.5000  2 Nb 2.47
Se  0.5000  0.0000  0.0000  2 Nb 2.47
Cl  0.5000  0.5000  0.5000  4 Co 3.49, 8 Se 3.59
Nb  0.0000  0.0000  0.0000  4 Se 2.47, 2 Co 2.61

The space-group type is P4/mmm. As for the formation energy (no corrections): 0.430 eV/atom.

Crystalline Zr2NbCoCl at its relaxed geometry. Source: Alexandria via LeMat-Bulk, functional PBE.

Unit cell a=4.8473 b=4.8473 c=3.9981 alpha=90.00 beta=90.00 gamma=90.00
Last column: nearest neighbours and their distance in Å.
Sites, in units of the cell vectors:
Nb  0.5000  0.5000  0.5000  8 Zr 3.14, 4 Co 3.43
Cl  0.0000  0.0000  0.0000  2 Co 2.00
Zr  0.0000  0.5000  0.0000  2 Cl 2.42
Zr  0.5000  0.0000  0.0000  2 Cl 2.42
Co  0.0000  0.0000  0.5000  2 Cl 2.00

The space-group type is P4/mmm. As for the formation energy (no corrections): 0.212 eV/atom.

Crystalline Nd4Co2Cl5 at its relaxed geometry. Source: Alexandria via LeMat-Bulk, functional PBE.

Unit cell a=4.0285 b=8.1160 c=10.1916 alpha=113.46 beta=101.40 gamma=90.00
Last column: nearest neighbours and their distance in Å.
Sites, in units of the cell vectors:
Co  0.4424  0.4424  0.8849  1 Co 2.10
Co  0.5576  0.5576  0.1151  1 Co 2.10
Nd  0.3117  0.3117  0.6234  1 Co 2.39
Nd  0.0000  0.7212  0.0000  4 Co 2.90, 4 Cl 3.03-3.18
Nd  0.0000  0.2788  0.0000  4 Co 2.90, 4 Cl 3.03-3.18
Nd  0.6883  0.6883  0.3766  1 Co 2.39
Cl  0.8269  0.0658  0.6538  4 Nd 2.94-3.19
Cl  0.5000  0.0000  0.0000  4 Nd 3.03
Cl  0.1731  0.4120  0.3462  4 Nd 2.94-3.19
Cl  0.8269  0.5880  0.6538  4 Nd 2.94-3.19
Cl  0.1731  0.9342  0.3462  4 Nd 2.94-3.19

The space-group type is Immm. As for the formation energy (no corrections): -1.224 eV/atom.

Crystalline Nd2Co2Cl at its relaxed geometry. Source: Alexandria via LeMat-Bulk, functional PBE.

Unit cell a=3.9495 b=3.9495 c=8.4679 alpha=90.02 beta=103.46 gamma=120.02
Last column: nearest neighbours and their distance in Å.
Sites, in units of the cell vectors:
Nd  0.8473  0.4235  0.2709  6 Co 2.94-2.96, 3 Cl 3.17-3.18
Nd  0.1527  0.5765  0.7291  6 Co 2.94-2.96, 3 Cl 3.17-3.18
Co  0.3349  0.1675  0.5024  3 Co 2.28
Co  0.6651  0.8325  0.4976  3 Co 2.28
Cl  0.0000  0.0000  0.0000  6 Nd 3.17-3.18

The space-group type is R-3m. As for the formation energy (no corrections): -0.774 eV/atom.

Crystalline Nd2CoCl at its relaxed geometry. Source: Alexandria via LeMat-Bulk, functional PBE.

Unit cell a=3.9377 b=3.9377 c=7.9967 alpha=75.75 beta=75.75 gamma=60.00
Last column: nearest neighbours and their distance in Å.
Sites, in units of the cell vectors:
Co  0.6673  0.6673  0.9980  6 Nd 2.74
Nd  0.0670  0.0670  0.7990  3 Co 2.74
Nd  0.2677  0.2677  0.1970  3 Co 2.74
Cl  0.4980  0.4980  0.5059  6 Nd 3.20-3.28

The space-group type is R3m. As for the formation energy (no corrections): -0.805 eV/atom. The calculation puts the excess energy over the best structure of this formula in the dataset at 22 meV/atom.

Crystalline Nd2CoCl at its relaxed geometry. Source: Alexandria via LeMat-Bulk, functional PBE.

Unit cell a=3.9546 b=3.9546 c=7.8987 alpha=75.50 beta=75.50 gamma=60.00
Last column: nearest neighbours and their distance in Å.
Sites, in units of the cell vectors:
Cl  0.5000  0.5000  0.5000  6 Nd 3.21
Nd  0.2662  0.2662  0.2013  3 Co 2.74
Nd  0.7338  0.7338  0.7987  3 Co 2.74
Co  0.0000  0.0000  0.0000  6 Nd 2.74

The space-group type is R-3m. As for the formation energy (no corrections): -0.827 eV/atom. The calculation puts the excess energy over the best structure of this formula in the dataset at 0 meV/atom.

Crystalline Nd5CoCl5 at its relaxed geometry. Source: Alexandria via LeMat-Bulk, functional PBE.

Unit cell a=5.7544 b=6.9249 c=8.5031 alpha=107.81 beta=90.00 gamma=114.55
Last column: nearest neighbours and their distance in Å.
Sites, in units of the cell vectors:
Nd  0.8302  0.6604  0.1403  1 Co 2.78, 4 Cl 2.93-3.09
Nd  0.1698  0.3396  0.8597  1 Co 2.78, 4 Cl 2.93-3.09
Nd  0.8527  0.7055  0.7075  1 Co 2.55
Nd  0.5000  0.0000  0.0000  2 Co 2.88, 4 Cl 2.96-3.08
Nd  0.1473  0.2945  0.2925  1 Co 2.55
Cl  0.3516  0.7032  0.2060  5 Nd 2.91-3.06
Cl  0.6702  0.3404  0.3585  5 Nd 2.93-3.17
Cl  0.6484  0.2968  0.7940  5 Nd 2.91-3.06
Cl  0.3298  0.6596  0.6415  5 Nd 2.93-3.17
Cl  0.0000  0.0000  0.5000  4 Nd 2.96-3.09
Co  0.0000  0.0000  0.0000  4 Nd 2.55-2.78

The space-group type is C2/m. As for the formation energy (no corrections): -1.380 eV/atom.

Crystalline Nd2CoCl at its relaxed geometry. Source: Alexandria via LeMat-Bulk, functional PBE.

Unit cell a=3.3800 b=3.3800 c=8.0534 alpha=90.00 beta=90.00 gamma=90.00
Last column: nearest neighbours and their distance in Å.
Sites, in units of the cell vectors:
Nd  0.0000  0.0000  0.7855  4 Co 2.95
Nd  0.0000  0.0000  0.2145  4 Co 2.95
Cl  0.5000  0.5000  0.5000  8 Nd 3.32, 4 Cl 3.38
Co  0.5000  0.5000  0.0000  8 Nd 2.95

The space-group type is P4/mmm. As for the formation energy (no corrections): -0.665 eV/atom. The calculation puts the excess energy over the best structure of this formula in the dataset at 162 meV/atom.

Crystalline Nd4CoCl5 at its relaxed geometry. Source: Alexandria via LeMat-Bulk, functional PBE.

Unit cell a=3.9867 b=8.4440 c=9.5866 alpha=89.72 beta=102.00 gamma=90.00
Last column: nearest neighbours and their distance in Å.
Sites, in units of the cell vectors:
Nd  0.6459  0.9985  0.2919  1 Co 2.74, 4 Cl 2.84
Nd  0.3541  0.0015  0.7081  1 Co 2.74, 4 Cl 2.84
Nd  0.9999  0.2218  0.9998  2 Co 2.73-2.74, 2 Cl 2.96
Nd  0.0001  0.7782  0.0002  2 Co 2.73-2.74, 2 Cl 2.96
Cl  0.5000  0.5000  0.0000  4 Nd 3.08
Cl  0.1576  0.7600  0.3151  3 Nd 2.84-2.96
Cl  0.8425  0.7631  0.6850  3 Nd 2.84-2.96
Cl  0.8424  0.2400  0.6849  3 Nd 2.84-2.96
Cl  0.1575  0.2369  0.3150  3 Nd 2.84-2.96
Co  0.5000  0.0000  0.0000  6 Nd 2.73-2.74

The space-group type is C2/m. As for the formation energy (no corrections): -1.564 eV/atom. The calculation puts the excess energy over the best structure of this formula in the dataset at 19 meV/atom.

Crystalline NdCoCl at its relaxed geometry. Source: Alexandria via LeMat-Bulk, functional PBE.

Unit cell a=3.9828 b=3.9828 c=11.2883 alpha=79.84 beta=79.84 gamma=60.00
Last column: nearest neighbours and their distance in Å.
Sites, in units of the cell vectors:
Cl  0.7208  0.7208  0.8375  3 Nd 2.91
Cl  0.2792  0.2792  0.1625  3 Nd 2.91
Nd  0.5587  0.5587  0.3240  3 Cl 2.91, 6 Co 2.98-3.05
Nd  0.4413  0.4413  0.6760  3 Cl 2.91, 6 Co 2.98-3.05
Co  0.8351  0.8351  0.4948  3 Co 2.30
Co  0.1649  0.1649  0.5052  3 Co 2.30

The space-group type is R-3m. As for the formation energy (no corrections): -1.117 eV/atom.

Crystalline NdCoCl at its relaxed geometry. Source: Alexandria via LeMat-Bulk, functional PBE.

Unit cell a=3.5966 b=3.6223 c=21.5192 alpha=90.00 beta=90.00 gamma=90.00
Last column: nearest neighbours and their distance in Å.
Sites, in units of the cell vectors:
Cl  0.3226  0.7500  0.1732  4 Nd 2.96-2.97
Cl  0.6774  0.2500  0.8268  4 Nd 2.96-2.97
Cl  0.1774  0.7500  0.6732  4 Nd 2.96-2.97
Cl  0.8226  0.2500  0.3268  4 Nd 2.96-2.97
Co  0.2057  0.2500  0.5001  2 Co 2.34
Co  0.7057  0.7500  0.9999  2 Co 2.34
Co  0.2943  0.2500  0.0001  2 Co 2.34
Co  0.7943  0.7500  0.4999  2 Co 2.34
Nd  0.3246  0.7500  0.3972  4 Co 2.78-2.92, 4 Cl 2.96-2.97
Nd  0.8246  0.2500  0.1029  4 Co 2.78-2.92, 4 Cl 2.96-2.97
Nd  0.6754  0.2500  0.6028  4 Co 2.78-2.92, 4 Cl 2.96-2.97
Nd  0.1754  0.7500  0.8971  4 Co 2.78-2.92, 4 Cl 2.96-2.97

The space-group type is Pnma. As for the formation energy (no corrections): -0.889 eV/atom.